Record 1
A geometry-optimized Mn2CdInIr structure, computed with GGA-PBE.

extended XYZ file:
```
5
Lattice="4.5878 0.0000 0.0000 0.0000 5.0890 0.0000 0.0000 0.0000 4.5878" Properties=species:S:1:pos:R:3 pbc="T T T"
Cd 2.2939 2.5445 2.2939
Ir 0.0000 0.0000 0.0000
Mn 0.0000 0.0000 2.2939
Mn 2.2939 0.0000 0.0000
In 0.0000 2.5445 0.0000
```

***

Record 2
A geometry-optimized YZnMoP2 structure, computed with GGA-PBE.

extended XYZ file:
```
5
Lattice="5.1911 0.0000 0.0000 0.0000 5.2738 0.0000 0.0000 0.0000 5.1911" Properties=species:S:1:pos:R:3 pbc="T T T"
Y 0.0000 0.0000 0.0000
P 0.0000 0.0000 2.5956
P 2.5956 0.0000 0.0000
Mo 2.5956 2.6369 2.5956
Zn 0.0000 2.6369 0.0000
```

***

Record 3
A geometry-optimized K3Ba12F5 structure, computed with GGA-PBE.

extended XYZ file:
```
80
Lattice="-1.3251 7.4742 -15.1239 0.8651 -16.7745 -2.0544 -13.5394 3.8412 9.3958" Properties=species:S:1:pos:R:3 pbc="T T T"
K -2.3618 -0.2046 -10.9389
K -2.2031 -5.5608 -13.5998
K -8.3102 -7.3773 -1.3399
K -5.3004 1.2122 -0.5143
K -4.4362 5.4034 -11.1413
K -3.3411 -6.7209 -4.6065
K -10.6583 1.2619 -3.1760
K -9.5632 -10.8625 3.3588
K -8.6990 -6.6712 -7.2682
K -5.6892 1.9182 -6.4426
K -11.7963 0.1017 5.8173
K -11.6376 -5.2544 3.1564
F -3.2261 -4.3958 -0.3119
F 0.4325 -8.3872 -1.0272
F 0.0000 0.0000 0.0000
F -1.9731 -0.9106 -5.0106
F -7.4322 5.6577 -2.8640
F -0.2300 -4.6501 -8.5892
F -4.5941 -10.2061 0.0921
F -12.7326 6.8699 -3.3784
F -5.5304 -3.4379 -9.1035
F -10.5433 3.5869 1.1186
F -3.4561 -9.0460 -8.9011
F -6.9997 -2.7295 -3.8912
F -0.6626 3.7371 -7.5619
F -6.7697 1.9206 4.6979
F -8.4690 -2.0211 1.3210
F -1.2668 -12.3290 -4.4041
F -6.3371 -6.4666 3.6707
F -9.4053 4.7471 -7.8746
F -12.0263 -4.5484 -2.7719
F -10.7733 -1.0632 -7.4706
Ba -14.3224 7.3202 -1.2791
Ba -5.3549 -4.5147 -1.9217
Ba -3.8519 -5.5051 2.0365
Ba -1.8391 0.9025 -6.9681
Ba -9.5768 -4.4979 -3.8371
Ba -2.1043 -9.3419 0.5298
Ba -5.2450 -9.7217 -2.4533
Ba -0.6952 -14.1007 -2.4880
Ba -10.1868 7.1129 -2.6058
Ba -3.0248 -4.0087 -9.8339
Ba -6.0617 -0.8525 -9.5167
Ba -13.7861 -5.1955 -4.6750
Ba -6.2587 -8.9279 1.7452
Ba -1.4174 -3.3204 -6.0214
Ba -4.7683 -12.8330 0.5467
Ba -8.6170 3.7063 -0.7287
Ba -2.5286 -1.8378 0.0156
Ba -1.4581 -7.4779 -8.0725
Ba -4.4761 -8.0334 -11.1531
Ba -1.1689 -5.7257 -1.3782
Ba -11.4916 6.0483 1.5425
Ba -5.8197 -3.9776 -6.5030
Ba -7.2154 -4.9129 -10.5604
Ba -13.1172 4.4049 -4.3341
Ba -8.1797 -1.4814 -1.2794
Ba -6.7840 -0.5461 2.7779
Ba -0.8822 -9.8640 -3.4484
Ba -9.5233 2.5743 3.3706
Ba -2.5078 -11.5073 -9.3250
Ba -12.8305 0.2666 -6.4043
Ba -12.5413 2.0189 0.2900
Ba -5.3824 -9.1653 -7.0538
Ba -11.4708 -3.6213 -7.7981
Ba -9.2311 7.3739 -8.3292
Ba -7.7407 3.4689 -9.5277
Ba -0.2133 -0.2636 -3.1075
Ba -12.5820 -2.1387 -1.7611
Ba -3.8126 -12.5719 -5.1767
Ba -10.9746 -1.4504 2.0514
Ba -7.9377 -4.6065 1.7342
Ba -13.3042 8.6416 -5.2945
Ba -8.7544 4.2626 -5.3292
Ba -12.1603 -6.3616 -0.8144
Ba -11.8951 3.8829 -8.3123
Ba -4.4226 -0.9611 -3.9454
Ba -10.1475 0.0461 -9.8190
Ba -8.6445 -0.9443 -5.8608
Ba 0.3230 -12.7793 -6.5034
```

Output
uncorrected formation energy	-1.22	eV per atom

***

Record 4
A geometry-optimized CaPmZnCd structure, computed with GGA-PBE.

extended XYZ file:
```
4
Lattice="3.7437 0.0000 0.0000 0.0000 3.7437 0.0000 0.0000 0.0000 7.5596" Properties=species:S:1:pos:R:3 pbc="T T T"
Ca 1.8718 1.8718 4.4932
Pm 1.8718 1.8718 0.9429
Zn 0.0000 0.0000 2.6293
Cd 0.0000 0.0000 6.5091
```

***

Record 5
A geometry-optimized Pm4HgTe5 structure, computed with GGA-PBE.

extended XYZ file:
```
10
Lattice="4.5553 0.0000 0.0000 0.0000 8.4566 -0.9466 -2.2776 -1.9975 10.6210" Properties=species:S:1:pos:R:3 pbc="T T T"
Pm 0.0000 6.7070 6.0582
Pm 0.0000 6.3307 -0.0450
Pm 2.2776 -0.2479 3.6162
Pm 2.2776 0.1284 9.7194
Hg 2.2776 0.0000 0.0000
Te 2.2776 5.1767 7.5162
Te 2.2776 0.4658 6.6098
Te 0.0000 5.9933 3.0647
Te 2.2776 4.2283 -0.4733
Te 0.0000 1.2824 2.1582
```

Output
uncorrected formation energy	-1.13	eV per atom

***

Record 6
A geometry-optimized CoAgPb2 structure, computed with GGA-PBE.

extended XYZ file:
```
4
Lattice="4.4454 0.0000 0.0000 0.0000 3.6216 -0.0097 0.0000 1.8119 5.3506" Properties=species:S:1:pos:R:3 pbc="T T T"
Ag 0.0000 3.3916 2.5395
Co 2.2227 3.4010 4.1789
Pb 0.0000 5.2143 4.8803
Pb 2.2227 1.5768 1.7537
```

***

Record 7
A geometry-optimized Sb3P structure, computed with GGA-PBE.

extended XYZ file:
```
4
Lattice="5.1513 0.0000 0.0000 0.0000 5.1513 0.0000 0.0000 0.0000 3.6412" Properties=species:S:1:pos:R:3 pbc="T T T"
Sb 2.5757 0.0000 1.8206
Sb 0.0000 2.5757 1.8206
Sb 2.5757 2.5757 0.0000
P 0.0000 0.0000 0.0000
```

Output
uncorrected formation energy	0.43	eV per atom

***

Record 8
A geometry-optimized PmDy2YSc structure, computed with GGA-PBE.

extended XYZ file:
```
10
Lattice="7.0788 0.0000 0.0000 0.0000 8.1720 0.0000 0.0000 -4.0860 5.6472" Properties=species:S:1:pos:R:3 pbc="T T T"
Pm 1.7697 4.0860 2.5303
Pm 5.3091 0.0000 3.1169
Dy 3.5394 2.4705 0.0000
Dy 0.0000 5.7015 0.0000
Dy 3.5394 5.7015 0.0000
Dy 0.0000 2.4705 0.0000
Y 5.3091 4.0860 2.7216
Y 1.7697 0.0000 2.9256
Sc 1.7697 4.0860 5.4908
Sc 5.3091 0.0000 0.1564
```

***

Record 9
A geometry-optimized Tb4AlCu structure, computed with GGA-PBE.

extended XYZ file:
```
12
Lattice="-2.2955 3.6506 3.6140 5.9448 -4.3757 4.2619 2.8612 5.0327 -5.6791" Properties=species:S:1:pos:R:3 pbc="T T T"
Tb 3.5867 3.5367 -3.6617
Tb 4.1948 2.9264 2.1758
Tb 5.5109 2.5614 -1.0994
Tb 6.5165 0.4178 1.6955
Tb -0.0061 3.8899 0.5013
Tb 0.9995 1.7463 3.2962
Tb 2.3157 1.3813 0.0210
Tb 2.9237 0.7710 5.8585
Al 3.5341 -0.1434 2.6125
Al 2.9764 4.4510 -0.4157
Cu -0.5698 0.9167 0.9020
Cu 7.0803 3.3910 1.2948
```

***

Record 10
A geometry-optimized CrNi2SI structure, computed with GGA-PBE.

extended XYZ file:
```
5
Lattice="4.6002 0.0000 0.0000 0.0000 4.6002 0.0000 0.0000 0.0000 5.3296" Properties=species:S:1:pos:R:3 pbc="T T T"
I 0.0000 0.0000 0.0000
Ni 0.0000 2.3001 0.0000
Ni 2.3001 0.0000 0.0000
S 2.3001 2.3001 2.6648
Cr 0.0000 0.0000 2.6648
```

Output
uncorrected formation energy	1.13	eV per atom

***

Record 11
A geometry-optimized MnAlCu2 structure, computed with GGA-PBE.

extended XYZ file:
```
4
Lattice="2.9309 0.0000 0.0000 0.0000 3.0523 0.0000 0.0000 0.0000 5.9282" Properties=species:S:1:pos:R:3 pbc="T T T"
Mn 1.4655 1.5261 1.4821
Al 1.4655 1.5261 4.4462
Cu 0.0000 0.0000 5.9188
Cu 0.0000 0.0000 2.9736
```

***

Record 12
A geometry-optimized Pr2PuGeN5 structure, computed with GGA-PBE.

extended XYZ file:
```
18
Lattice="3.4379 0.0000 0.0000 -1.7190 7.1967 0.0000 0.0000 0.0000 10.5713" Properties=species:S:1:pos:R:3 pbc="T T T"
Pr 1.7190 5.2865 8.6519
Pr 0.0000 1.5655 7.2039
Pr 0.0000 1.9102 3.3662
Pr 1.7190 5.6312 1.9182
Pu 1.7190 4.2564 5.5348
Pu 0.0000 2.9402 0.2492
Ge 1.7190 0.6599 9.9197
Ge 0.0000 6.5368 4.6340
N 0.0000 5.0170 0.0798
N 1.7190 2.5655 9.3383
N 0.0000 7.0666 8.2739
N 0.0000 4.1349 6.9468
N 1.7190 6.5972 5.6181
N 1.7190 2.1797 5.3654
N 0.0000 4.6312 4.0526
N 1.7190 0.1300 2.9882
N 1.7190 3.0618 1.6611
N 0.0000 0.5995 0.3324
```

Output
uncorrected formation energy	-0.86	eV per atom

***

Calculated DFT total energy, -25.12, -23.31, -240.18, -10.17, -46.29, -16.00, -16.05, -50.20, -54.36, -21.23, -21.27, -155.70 eV for the cell shown (same order as the records).
Calculated density, 8206, 3648, 3312, 5688, 5881, 11194, 6810, 6139, 7698, 4834, 6544, 8488 kg/m³ (same order as the records).
Calculated total magnetization, 0.7, 4.3, 15.3, 0.2, 0.0, 1.3, 0.0, 0.0, 0.0, 3.0, 3.8, 6.0 Bohr magnetons per cell (same order as the records).